1.
An optimized crystal structure of Tm6Mg2In3, computed with PBE-GGA.

E_form = 0.154 eV/atom
Volume = 29.7 Å³ per atom
Size of the total moment = 0.00 Bohr magnetons per cell

Lattice parameters (Å, degrees): 5.3653 5.3653 22.7254 90.00 90.00 90.00
Last column: nearest neighbours and their distance in Å.
Space group I4/mmm (No. 139)
Unique sites:
Tm 0.0000 0.0000 0.1963 [4 per cell]  1 In 3.07, 1 Mg 3.22
Tm 0.0000 0.5000 0.0975 [8 per cell]  2 Mg 2.85, 2 In 3.13
Mg 0.0000 0.0000 0.0546 [4 per cell]  1 Mg 2.48
In 0.0000 0.0000 0.3314 [4 per cell]  5 Tm 3.07-3.13
In 0.0000 0.0000 0.5000 [2 per cell]  8 Tm 3.48, 2 In 3.83

***

2.
An optimized crystal structure of Tm2MgIn8, computed with PBE-GGA.

E_form = -0.234 eV/atom
Volume = 25.4 Å³ per atom
Size of the total moment = 0.00 Bohr magnetons per cell

Lattice parameters (Å, degrees): 4.8498 4.8498 11.8838 90.00 90.00 90.00
Last column: nearest neighbours and their distance in Å.
Space group P4/mmm (No. 123)
Unique sites:
Tm 0.0000 0.0000 0.1847 [2 per cell]  12 In 3.22-3.43
Mg 0.0000 0.0000 0.5000 [1 per cell]  8 In 2.92
In 0.0000 0.5000 0.0000 [2 per cell]  4 Tm 3.27, 8 In 3.27-3.43
In 0.0000 0.5000 0.3631 [4 per cell]  2 Mg 2.92, 3 In 3.22-3.25, 2 Tm 3.22
In 0.5000 0.5000 0.1847 [2 per cell]  8 In 3.22-3.27, 4 Tm 3.43

***

3.
An optimized crystal structure of TmMg2In5, computed with PBE-GGA.

E_form = -0.166 eV/atom
Volume = 24.8 Å³ per atom
Size of the total moment = 0.00 Bohr magnetons per cell

Lattice parameters (Å, degrees): 7.7651 7.7651 6.5937 90.00 90.00 90.00
Last column: nearest neighbours and their distance in Å.
Space group I4/mmm (No. 139)
Unique sites:
Tm 0.0000 0.0000 0.0000 [2 per cell]  10 In 3.20-3.30
Mg 0.0000 0.5000 0.0000 [4 per cell]  8 In 3.20, 2 Mg 3.30
In 0.0000 0.0000 0.5000 [2 per cell]  8 In 3.20, 2 Tm 3.30
In 0.2500 0.2500 0.2500 [8 per cell]  2 Tm 3.20, 4 In 3.20-3.30, 4 Mg 3.20

***

4.
An optimized crystal structure of Tm6Mg2In, computed with PBE-GGA.

E_form = 0.242 eV/atom
Volume = 33.2 Å³ per atom
Size of the total moment = 3.06 Bohr magnetons per cell

Lattice parameters (Å, degrees): 6.9396 6.9396 21.4907 90.00 90.00 120.00
Last column: nearest neighbours and their distance in Å.
Space group R3 (No. 146, hexagonal axes)
Unique sites:
Tm 0.0006 0.4925 0.0000 [9 per cell]  1 In 3.00, 1 Mg 3.35, 2 Tm 3.36
Tm 0.0020 0.5098 0.7920 [9 per cell]  1 In 3.01, 2 Tm 3.36, 1 Mg 3.36
Mg 0.0000 0.0000 0.9996 [3 per cell]  9 Tm 3.36-3.52
Mg 0.0000 0.0000 0.7918 [3 per cell]  9 Tm 3.35-3.53
In 0.0000 0.0000 0.5627 [3 per cell]  6 Tm 3.00-3.01

***

5.
An optimized crystal structure of Tm2MgIn9, computed with PBE-GGA.

E_form = -0.244 eV/atom
Volume = 24.7 Å³ per atom
Size of the total moment = 0.00 Bohr magnetons per cell

Lattice parameters (Å, degrees): 4.6265 4.6265 13.8330 90.00 90.00 90.00
Last column: nearest neighbours and their distance in Å.
Space group P4/mmm (No. 123)
Unique sites:
Tm 0.0000 0.0000 0.1648 [2 per cell]  12 In 3.25-3.32
Mg 0.0000 0.0000 0.5000 [1 per cell]  12 In 3.23-3.27
In 0.0000 0.5000 0.0000 [2 per cell]  4 Tm 3.25, 8 In 3.27
In 0.0000 0.5000 0.3366 [4 per cell]  8 In 3.23-3.29, 2 Mg 3.23, 2 Tm 3.32
In 0.5000 0.5000 0.1670 [2 per cell]  8 In 3.27-3.29, 4 Tm 3.27
In 0.5000 0.5000 0.5000 [1 per cell]  8 In 3.23, 4 Mg 3.27

***

6.
An optimized crystal structure of Tm3MgIn4, computed with PBE-GGA.

E_form = -0.369 eV/atom
Volume = 24.8 Å³ per atom
Size of the total moment = 1.79 Bohr magnetons per cell

Lattice parameters (Å, degrees): 6.6400 6.6474 17.9530 90.00 90.00 90.00
Last column: nearest neighbours and their distance in Å.
Space group Fmmm (No. 69)
Unique sites:
Tm 0.0000 0.0000 0.0000 [4 per cell]  8 In 3.22, 4 Mg 3.32
Tm 0.0000 0.0000 0.2450 [8 per cell]  8 In 3.22-3.34, 4 Tm 3.32-3.33
Mg 0.0000 0.0000 0.5000 [4 per cell]  8 In 3.22, 4 Tm 3.32
In 0.2500 0.2500 0.1224 [16 per cell]  2 Mg 3.22, 6 Tm 3.22-3.34, 4 In 3.32

***

7.
An optimized crystal structure of TmMgIn6, computed with PBE-GGA.

E_form = -0.165 eV/atom
Volume = 24.9 Å³ per atom
Size of the total moment = 0.00 Bohr magnetons per cell

Lattice parameters (Å, degrees): 9.2786 9.3383 4.5940 90.00 90.00 90.00
Last column: nearest neighbours and their distance in Å.
Space group Cmmm (No. 65)
Unique sites:
Tm 0.0000 0.0000 0.0000 [2 per cell]  12 In 3.28-3.29
Mg 0.0000 0.5000 0.0000 [2 per cell]  12 In 3.25-3.29
In 0.0000 0.2514 0.5000 [4 per cell]  8 In 3.26-3.32, 2 Mg 3.27, 2 Tm 3.28
In 0.2474 0.5000 0.5000 [4 per cell]  2 Mg 3.25, 8 In 3.27-3.32, 2 Tm 3.28
In 0.2500 0.2500 0.0000 [4 per cell]  8 In 3.26-3.28, 2 Mg 3.29, 2 Tm 3.29

***

8.
An optimized crystal structure of TmMgIn, computed with PBE-GGA.

E_form = -0.160 eV/atom
Volume = 28.4 Å³ per atom
Size of the total moment = 0.00 Bohr magnetons per cell

Lattice parameters (Å, degrees): 6.9843 6.9843 6.9843 90.00 90.00 90.00
Last column: nearest neighbours and their distance in Å.
Space group F-43m (No. 216)
Unique sites:
Tm 0.0000 0.0000 0.0000 [4 per cell]  4 In 3.02
Mg 0.0000 0.0000 0.5000 [4 per cell]  4 In 3.02
In 0.2500 0.2500 0.2500 [4 per cell]  4 Mg 3.02, 4 Tm 3.02

***

9.
An optimized crystal structure of Tm5MgIn, computed with PBE-GGA.

E_form = 0.014 eV/atom
Volume = 28.9 Å³ per atom
Size of the total moment = 0.00 Bohr magnetons per cell

Lattice parameters (Å, degrees): 8.2727 8.9766 11.3913 90.00 107.22 90.00
Last column: nearest neighbours and their distance in Å.
Space group C2/c (No. 15)
Unique sites:
Tm 0.0000 0.1312 0.2500 [4 per cell]  2 Mg 3.08, 1 In 3.15, 4 Tm 3.28-3.40
Tm 0.1138 0.3545 0.5353 [8 per cell]  4 Tm 3.18-3.48, 2 In 3.22-3.31, 1 Mg 3.31
Tm 0.2055 0.2051 0.8425 [8 per cell]  8 Tm 3.28-3.61, 2 In 3.29-3.37, 1 Mg 3.36
Mg 0.0000 0.0000 0.0000 [4 per cell]  6 Tm 3.08-3.36
In 0.0000 0.4817 0.2500 [4 per cell]  9 Tm 3.15-3.37

***

10.
An optimized crystal structure of Tm6MgIn5, computed with PBE-GGA.

E_form = -0.388 eV/atom
Volume = 25.6 Å³ per atom
Size of the total moment = 0.00 Bohr magnetons per cell

Lattice parameters (Å, degrees): 5.2656 15.8549 7.3626 90.00 90.00 90.00
Last column: nearest neighbours and their distance in Å.
Space group Cmmm (No. 65)
Unique sites:
Tm 0.0000 0.0000 0.2449 [4 per cell]  6 In 3.15-3.20, 2 Mg 3.23
Tm 0.0000 0.3315 0.2518 [8 per cell]  7 In 3.20-3.28, 1 Mg 3.24
Mg 0.0000 0.5000 0.5000 [2 per cell]  8 Tm 3.23-3.24
In 0.0000 0.1598 0.5000 [4 per cell]  8 Tm 3.15-3.28
In 0.0000 0.1668 0.0000 [4 per cell]  8 Tm 3.20-3.22
In 0.0000 0.5000 0.0000 [2 per cell]  8 Tm 3.19-3.25

***

11.
An optimized crystal structure of TmMgIn, computed with PBE-GGA.

E_form = 0.140 eV/atom
Volume = 28.3 Å³ per atom
Size of the total moment = 0.00 Bohr magnetons per cell

Lattice parameters (Å, degrees): 3.3015 3.3015 26.9520 90.00 90.00 120.00
Last column: nearest neighbours and their distance in Å.
Space group R3m (No. 160, hexagonal axes)
Unique sites:
Tm 0.0000 0.0000 0.0000 [3 per cell]  1 In 3.22, 6 Tm 3.30, 3 Mg 3.34
Mg 0.0000 0.0000 0.7685 [3 per cell]  1 In 3.02, 6 Mg 3.30, 3 Tm 3.34
In 0.0000 0.0000 0.8806 [3 per cell]  1 Mg 3.02, 1 Tm 3.22, 6 In 3.30

***

12.
An optimized crystal structure of Tm8MgIn2, computed with PBE-GGA.

E_form = -0.173 eV/atom
Volume = 27.9 Å³ per atom
Size of the total moment = 0.00 Bohr magnetons per cell

Lattice parameters (Å, degrees): 16.0199 5.2901 8.4142 90.00 120.62 90.00
Last column: nearest neighbours and their distance in Å.
Space group C2/m (No. 12)
Unique sites:
Tm 0.0623 0.0000 0.2205 [4 per cell]  1 In 3.13, 6 Tm 3.20-3.42
Tm 0.0919 0.5000 0.9525 [4 per cell]  3 In 3.26-3.28, 1 Mg 3.31, 4 Tm 3.40-3.60
Tm 0.1359 0.0000 0.6806 [4 per cell]  3 In 3.26-3.28, 2 Mg 3.27, 4 Tm 3.42-3.62
Tm 0.1811 0.5000 0.4408 [4 per cell]  1 In 3.15, 1 Mg 3.18, 4 Tm 3.23-3.26
Mg 0.0000 0.5000 0.5000 [2 per cell]  8 Tm 3.18-3.31
In 0.2281 0.0000 0.1272 [4 per cell]  8 Tm 3.13-3.28

***

13.
An optimized crystal structure of Tm12MgIn3, computed with PBE-GGA.

E_form = -0.186 eV/atom
Volume = 27.6 Å³ per atom
Size of the total moment = 0.00 Bohr magnetons per cell

Lattice parameters (Å, degrees): 4.7946 4.7946 19.2291 90.00 90.00 90.00
Last column: nearest neighbours and their distance in Å.
Space group P4/mmm (No. 123)
Unique sites:
Tm 0.0000 0.0000 0.0000 [1 per cell]  8 Tm 3.38, 4 In 3.39
Tm 0.0000 0.0000 0.2486 [2 per cell]  8 Tm 3.39, 4 In 3.39
Tm 0.0000 0.0000 0.5000 [1 per cell]  4 Mg 3.39, 8 Tm 3.42
Tm 0.0000 0.5000 0.1240 [4 per cell]  4 In 3.38-3.39, 8 Tm 3.38-3.39
Tm 0.0000 0.5000 0.3732 [4 per cell]  2 In 3.39, 8 Tm 3.39-3.42, 2 Mg 3.42
Mg 0.5000 0.5000 0.5000 [1 per cell]  12 Tm 3.39-3.42
In 0.5000 0.5000 0.0000 [1 per cell]  12 Tm 3.38-3.39
In 0.5000 0.5000 0.2487 [2 per cell]  12 Tm 3.39

***

14.
An optimized crystal structure of Tm2MgIn2, computed with PBE-GGA.

E_form = -0.263 eV/atom
Volume = 26.4 Å³ per atom
Size of the total moment = 0.00 Bohr magnetons per cell

Lattice parameters (Å, degrees): 4.5578 6.4104 9.0490 90.00 90.00 90.00
Last column: nearest neighbours and their distance in Å.
Space group Immm (No. 71)
Unique sites:
Tm 0.0000 0.0000 0.2006 [4 per cell]  6 In 3.23-3.26, 2 Mg 3.54
Mg 0.0000 0.5000 0.0000 [2 per cell]  4 In 2.87
In 0.0000 0.2734 0.5000 [4 per cell]  2 Mg 2.87, 1 In 2.91

***

15.
An optimized crystal structure of Tm7Mg2In2, computed with PBE-GGA.

E_form = 0.152 eV/atom
Volume = 29.9 Å³ per atom
Size of the total moment = 0.00 Bohr magnetons per cell

Lattice parameters (Å, degrees): 6.7436 11.1789 8.7352 90.00 90.00 90.00
Last column: nearest neighbours and their distance in Å.
Space group Cmmm (No. 65)
Unique sites:
Tm 0.0000 0.0000 0.0000 [2 per cell]  2 Mg 3.08
Tm 0.0000 0.5000 0.2069 [4 per cell]  2 Mg 3.10, 2 In 3.17, 4 Tm 3.37
Tm 0.2500 0.2500 0.3041 [8 per cell]  2 Mg 3.16, 2 In 3.28, 5 Tm 3.37-3.42
Mg 0.0000 0.2751 0.0000 [4 per cell]  7 Tm 3.08-3.16, 2 Mg 3.42
In 0.2222 0.0000 0.5000 [4 per cell]  1 In 3.00, 6 Tm 3.17-3.28

***

16.
An optimized crystal structure of Tm3Mg4In4, computed with PBE-GGA.

E_form = -0.262 eV/atom
Volume = 24.7 Å³ per atom
Size of the total moment = 0.00 Bohr magnetons per cell

Lattice parameters (Å, degrees): 4.6700 7.5859 15.3586 90.00 90.00 90.00
Last column: nearest neighbours and their distance in Å.
Space group Immm (No. 71)
Unique sites:
Tm 0.0000 0.0000 0.0000 [2 per cell]  6 In 3.29-3.33
Tm 0.0000 0.5000 0.1174 [4 per cell]  6 In 3.30-3.45, 6 Mg 3.39-3.54, 1 Tm 3.61
Mg 0.0000 0.3042 0.3268 [8 per cell]  4 In 2.79-2.86, 1 Mg 2.97
In 0.0000 0.0000 0.2170 [4 per cell]  6 Mg 2.85-2.86
In 0.0000 0.1949 0.5000 [4 per cell]  2 Mg 2.79, 1 In 2.96

***

17.
An optimized crystal structure of TmMg2In6, computed with PBE-GGA.

E_form = -0.090 eV/atom
Volume = 25.4 Å³ per atom
Size of the total moment = 0.00 Bohr magnetons per cell

Lattice parameters (Å, degrees): 12.9350 11.9711 6.5959 90.00 116.34 90.00
Last column: nearest neighbours and their distance in Å.
Space group C2/c (No. 15)
Unique sites:
Tm 0.0000 0.1395 0.2500 [4 per cell]  8 In 3.18-3.25
Mg 0.1863 0.4695 0.3774 [8 per cell]  6 In 2.90-3.24
In 0.0010 0.3616 0.5250 [8 per cell]  4 In 2.98-3.33, 3 Mg 2.98-3.23, 1 Tm 3.22
In 0.1216 0.0956 0.7920 [8 per cell]  2 Mg 2.90-3.24, 3 In 2.94-3.10, 1 Tm 3.18
In 0.2389 0.2163 0.2549 [8 per cell]  5 In 2.99-3.31, 3 Mg 3.11-3.34, 1 Tm 3.21

***

18.
An optimized crystal structure of TmMgIn, computed with PBE-GGA.

E_form = -0.040 eV/atom
Volume = 26.5 Å³ per atom
Size of the total moment = 0.00 Bohr magnetons per cell

Lattice parameters (Å, degrees): 3.5685 3.5685 24.9257 90.00 90.00 90.00
Last column: nearest neighbours and their distance in Å.
Space group I4/mmm (No. 139)
Unique sites:
Tm 0.0000 0.0000 0.0670 [4 per cell]  4 In 3.21, 5 Tm 3.34-3.57
Mg 0.0000 0.0000 0.2138 [4 per cell]  4 In 3.03, 4 Mg 3.10
In 0.0000 0.0000 0.3535 [4 per cell]  4 Mg 3.03, 4 Tm 3.21

***

19.
An optimized crystal structure of Tm5Mg2In, computed with PBE-GGA.

E_form = -0.053 eV/atom
Volume = 27.8 Å³ per atom
Size of the total moment = 0.00 Bohr magnetons per cell

Lattice parameters (Å, degrees): 8.2777 8.2777 12.9749 90.00 90.00 90.00
Last column: nearest neighbours and their distance in Å.
Space group I4/mcm (No. 140)
Unique sites:
Tm 0.0000 0.0000 0.0000 [4 per cell]  4 Mg 3.21, 2 In 3.24
Tm 0.1531 0.3469 0.1590 [16 per cell]  3 Mg 3.18-3.20, 3 Tm 3.27-3.46, 2 In 3.35
Mg 0.1381 0.3619 0.5000 [8 per cell]  8 Tm 3.18-3.21, 1 Mg 3.23
In 0.0000 0.0000 0.2500 [4 per cell]  10 Tm 3.24-3.35

***

20.
An optimized crystal structure of Tm2Mg3In3, computed with PBE-GGA.

E_form = -0.304 eV/atom
Volume = 23.8 Å³ per atom
Size of the total moment = 0.00 Bohr magnetons per cell

Lattice parameters (Å, degrees): 4.5739 4.6416 8.9667 90.00 90.00 90.00
Last column: nearest neighbours and their distance in Å.
Space group Pmmm (No. 47)
Unique sites:
Tm 0.0000 0.0000 0.2473 [2 per cell]  6 In 3.19-3.22, 6 Mg 3.24-3.26
Mg 0.0000 0.5000 0.5000 [1 per cell]  4 Mg 3.19, 4 Tm 3.24, 4 In 3.26
Mg 0.5000 0.5000 0.2524 [2 per cell]  2 Mg 3.19, 6 In 3.21-3.24, 4 Tm 3.26
In 0.0000 0.5000 0.0000 [1 per cell]  4 Tm 3.21, 4 Mg 3.22, 4 In 3.26
In 0.5000 0.0000 0.0000 [1 per cell]  4 Tm 3.19, 4 Mg 3.24, 4 In 3.26
In 0.5000 0.0000 0.5000 [1 per cell]  8 Mg 3.21-3.26, 4 Tm 3.22

***

21.
An optimized crystal structure of Tm6MgIn2, computed with PBE-GGA.

E_form = 0.110 eV/atom
Volume = 31.9 Å³ per atom
Size of the total moment = 0.00 Bohr magnetons per cell

Lattice parameters (Å, degrees): 5.0705 7.3334 15.4230 90.00 90.00 90.00
Last column: nearest neighbours and their distance in Å.
Space group Immm (No. 71)
Unique sites:
Tm 0.0000 0.2479 0.0000 [4 per cell]  2 Mg 3.14, 2 In 3.16
Tm 0.0000 0.2490 0.3337 [8 per cell]  3 In 3.13-3.14, 1 Mg 3.15
Mg 0.0000 0.0000 0.5000 [2 per cell]  8 Tm 3.14-3.15
In 0.0000 0.0000 0.1677 [4 per cell]  8 Tm 3.13-3.16

***

22.
An optimized crystal structure of Tm3MgIn12, computed with PBE-GGA.

E_form = -0.270 eV/atom
Volume = 24.7 Å³ per atom
Size of the total moment = 0.00 Bohr magnetons per cell

Lattice parameters (Å, degrees): 4.6228 4.6228 18.4793 90.00 90.00 90.00
Last column: nearest neighbours and their distance in Å.
Space group P4/mmm (No. 123)
Unique sites:
Tm 0.0000 0.0000 0.0000 [1 per cell]  12 In 3.27
Tm 0.0000 0.0000 0.2486 [2 per cell]  12 In 3.25-3.32
Mg 0.0000 0.0000 0.5000 [1 per cell]  12 In 3.24-3.27
In 0.0000 0.5000 0.1253 [4 per cell]  4 Tm 3.25-3.27, 8 In 3.26-3.27
In 0.0000 0.5000 0.3774 [4 per cell]  8 In 3.24-3.31, 2 Mg 3.24, 2 Tm 3.32
In 0.5000 0.5000 0.0000 [1 per cell]  4 Tm 3.27, 8 In 3.27
In 0.5000 0.5000 0.2495 [2 per cell]  8 In 3.26-3.31, 4 Tm 3.27
In 0.5000 0.5000 0.5000 [1 per cell]  8 In 3.24, 4 Mg 3.27